# 1
Below is a crystal of Hf2GaS relaxed with PBEsol, with properties calculated at the SCAN level.

Cell lengths 6.494, 6.494, 6.494 Å; angles 90.00, 90.00, 90.00 degrees
Space group Fm-3m (No. 225)
Symmetry-distinct sites (fractional):
Hf1 0.250 0.250 0.250
Ga1 0.000 0.000 0.000
S1 0.000 0.000 0.500

Calculated values
Uncorrected formation energy in eV per atom: -0.479
VASP energy in eV/atom: -38.31

---

# 2
Below is a crystal of HfSc2GaSb relaxed with PBEsol, with properties calculated at the SCAN level.

Cell lengths 4.924, 4.924, 5.128 Å; angles 90.00, 90.00, 90.00 degrees
Space group P4/mmm (No. 123)
Symmetry-distinct sites (fractional):
Hf1 0.000 0.000 0.000
Sc1 0.000 0.500 0.500
Ga1 0.500 0.500 0.500
Sb1 0.500 0.500 0.000

Calculated values
Uncorrected formation energy in eV per atom: 0.435
VASP energy in eV/atom: -28.52

---

# 3
Below is a crystal of HfGaSb2W relaxed with PBEsol, with properties calculated at the SCAN level.

Cell lengths 5.371, 5.371, 5.001 Å; angles 90.00, 90.00, 90.00 degrees
Space group P4/mmm (No. 123)
Symmetry-distinct sites (fractional):
Hf1 0.000 0.000 0.000
Ga1 0.500 0.500 0.500
Sb1 0.000 0.500 0.000
W1 0.000 0.000 0.500

Calculated values
Uncorrected formation energy in eV per atom: 1.306
VASP energy in eV/atom: -43.34

---

# 4
Below is a crystal of Hf2ScGa3 relaxed with PBEsol, with properties calculated at the SCAN level.

Cell lengths 3.783, 3.869, 60.275 Å; angles 90.00, 90.00, 90.00 degrees
Space group Imm2 (No. 44)
Symmetry-distinct sites (fractional):
Hf1 0.000 0.000 0.000
Hf2 0.000 0.000 0.131
Hf3 0.000 0.000 0.332
Hf4 0.000 0.000 0.666
Hf5 0.000 0.000 0.797
Hf6 0.000 0.500 0.213
Hf7 0.000 0.500 0.546
Hf8 0.000 0.500 0.879
Sc1 0.000 0.000 0.464
Sc2 0.000 0.500 0.082
Sc3 0.000 0.500 0.415
Sc4 0.000 0.500 0.749
Ga1 0.000 0.000 0.176
Ga2 0.000 0.000 0.286
Ga3 0.000 0.000 0.509
Ga4 0.000 0.000 0.620
Ga5 0.000 0.000 0.842
Ga6 0.000 0.000 0.953
Ga7 0.000 0.500 0.037
Ga8 0.000 0.500 0.259
Ga9 0.000 0.500 0.370
Ga10 0.000 0.500 0.593
Ga11 0.000 0.500 0.703
Ga12 0.000 0.500 0.926

Calculated values
Energy relative to the elements in eV/atom: -0.6387
VASP energy in eV/atom: -32.08

---

# 5
Below is a crystal of Hf3ScGa12 relaxed with PBEsol, with properties calculated at the SCAN level.

Cell lengths 3.915, 3.915, 17.243 Å; angles 90.00, 90.00, 90.00 degrees
Space group P4mm (No. 99)
Symmetry-distinct sites (fractional):
Hf1 0.000 0.000 0.000
Hf2 0.000 0.000 0.235
Hf3 0.500 0.500 0.738
Sc1 0.500 0.500 0.500
Ga1 0.000 0.000 0.496
Ga2 0.000 0.000 0.740
Ga3 0.000 0.500 0.118
Ga4 0.000 0.500 0.369
Ga5 0.000 0.500 0.618
Ga6 0.000 0.500 0.868
Ga7 0.500 0.500 0.246
Ga8 0.500 0.500 0.995

Calculated values
Energy relative to the elements in eV/atom: -0.4923
VASP energy in eV/atom: -25.39

---

# 6
Below is a crystal of HfScGa2 relaxed with PBEsol, with properties calculated at the SCAN level.

Cell lengths 6.600, 6.600, 6.600 Å; angles 90.00, 90.00, 90.00 degrees
Space group Fm-3m (No. 225)
Symmetry-distinct sites (fractional):
Hf1 0.000 0.000 0.000
Sc1 0.000 0.000 0.500
Ga1 0.250 0.250 0.250

Calculated values
Energy relative to the elements in eV/atom: -0.4976
VASP energy in eV/atom: -27.90

---

# 7
Below is a crystal of YHfSc2Ga relaxed with PBEsol, with properties calculated at the SCAN level.

Cell lengths 5.017, 5.017, 5.305 Å; angles 90.00, 90.00, 90.00 degrees
Space group P4/mmm (No. 123)
Symmetry-distinct sites (fractional):
Y1 0.000 0.000 0.000
Hf1 0.500 0.500 0.000
Sc1 0.000 0.500 0.500
Ga1 0.000 0.000 0.500

Calculated values
Energy relative to the elements in eV/atom: 0.3749
VASP energy in eV/atom: -26.69

---

# 8
Below is a crystal of HfGaSe2 relaxed with PBEsol, with properties calculated at the SCAN level.

Cell lengths 6.633, 6.633, 10.545 Å; angles 90.00, 90.00, 90.00 degrees
Space group I-42d (No. 122)
Symmetry-distinct sites (fractional):
Hf1 0.000 0.000 0.000
Ga1 0.000 0.000 0.500
Se1 0.210 0.750 0.125

Calculated values
Uncorrected formation energy in eV per atom: -0.470
VASP energy in eV/atom: -30.26

---

# 9
Below is a crystal of SrHf3Ga relaxed with PBEsol, with properties calculated at the SCAN level.

Cell lengths 5.013, 5.013, 5.013 Å; angles 90.00, 90.00, 90.00 degrees
Space group Pm-3m (No. 221)
Symmetry-distinct sites (fractional):
Sr1 0.000 0.000 0.000
Hf1 0.000 0.000 0.500
Ga1 0.500 0.500 0.500

Calculated values
Energy relative to the lowest polymorph listed for this composition in meV per atom: 1582
Energy relative to the elements in eV/atom: 2.2106
VASP energy in eV/atom: -43.12

---

# 10
Below is a crystal of SrHf3Ga relaxed with PBEsol, with properties calculated at the SCAN level.

Cell lengths 5.113, 5.113, 5.113 Å; angles 90.00, 90.00, 90.00 degrees
Space group Pm-3m (No. 221)
Symmetry-distinct sites (fractional):
Sr1 0.000 0.000 0.000
Hf1 0.000 0.500 0.500
Ga1 0.500 0.500 0.500

Calculated values
Energy relative to the lowest polymorph listed for this composition in meV per atom: 0
Energy relative to the elements in eV/atom: 0.6288
VASP energy in eV/atom: -44.70

---

# 11
Below is a crystal of Hf2Ga2Tc relaxed with PBEsol, with properties calculated at the SCAN level.

Cell lengths 6.753, 6.753, 3.662 Å; angles 90.00, 90.00, 90.00 degrees
Space group P4/mbm (No. 127)
Symmetry-distinct sites (fractional):
Hf1 0.176 0.324 0.000
Ga1 0.128 0.628 0.500
Tc1 0.000 0.000 0.500

Calculated values
Energy relative to the elements in eV/atom: -0.6234
VASP energy in eV/atom: -39.24

---

# 12
Below is a crystal of HfGa2Tc2 relaxed with PBEsol, with properties calculated at the SCAN level.

Cell lengths 6.946, 6.946, 3.150 Å; angles 90.00, 90.00, 90.00 degrees
Space group P4/mbm (No. 127)
Symmetry-distinct sites (fractional):
Hf1 0.000 0.000 0.000
Ga1 0.129 0.371 0.000
Tc1 0.168 0.668 0.500

Calculated values
Energy relative to the elements in eV/atom: -0.3823
VASP energy in eV/atom: -33.48